Arrangement one

The following is a PBE calculation of crystalline V2ReMo at its relaxed geometry, from Alexandria via LeMat-Bulk.

The space group is I-42d (No. 122) and the conventional cell measures 6.838, 6.838 and 5.289 Å, with angles of 90.00, 90.00 and 90.00 degrees. The distinct sites, in fractional coordinates, are V at (0.244, 0.750, 0.125), Re at (0.000, 0.000, 0.000) and Mo at (0.000, 0.000, 0.500).

---

Arrangement two

The following is a PBE calculation of crystalline V2ReMo at its relaxed geometry, from Alexandria via LeMat-Bulk.

The space group is Fm-3m (No. 225) and the conventional cell measures 6.108, 6.108 and 6.108 Å, with angles of 90.00, 90.00 and 90.00 degrees. The distinct sites, in fractional coordinates, are V at (0.250, 0.250, 0.250), Re at (0.000, 0.000, 0.000) and Mo at (0.000, 0.000, 0.500).

---

Stability summary: most stable arrangement two, least stable arrangement one.